First-principles (meta-GGA SCAN) data for a crystal of Li2HfO3 relaxed with PBEsol, as listed in the Alexandria database.

The total magnetization comes out at 0.0 μB/cell. The calculation puts the uncorrected formation energy at -3.06 eV/atom. The calculated total energy comes out at -17.4184 eV per atom.

The space group is Cmmm (No. 65) and the conventional cell measures 4.1517, 9.4868 and 3.1706 Å, with angles of 90.00, 90.00 and 90.00 degrees. The asymmetric unit holds Li at (0.0000, 0.1561, 0.0000), Hf at (0.0000, 0.5000, 0.5000), O at (0.0000, 0.0000, 0.5000) and O at (0.0000, 0.3587, 0.0000).